# 1
Material: LaTcRh2
Method: DFT, GGA-PBE
State: relaxed

Structure (POSCAR):
```
LaTcRh2
1.0
1.453 0.839 9.568
-1.453 0.839 9.568
0.000 -1.678 9.568
La Tc Rh
1 1 2
Direct
0.000 0.000 0.000 La
0.500 0.500 0.500 Tc
0.239 0.239 0.239 Rh
0.761 0.761 0.761 Rh
```



# 2
Material: Tl3AgPd6
Method: DFT, GGA-PBE
State: relaxed

Structure (POSCAR):
```
Tl3AgPd6
1.0
8.117 0.000 0.000
0.000 4.736 0.000
-3.573 0.000 9.365
Tl Ag Pd
6 2 12
Direct
0.057 0.250 0.223 Tl
0.308 0.250 0.028 Tl
0.337 0.750 0.375 Tl
0.663 0.250 0.625 Tl
0.692 0.750 0.972 Tl
0.943 0.750 0.777 Tl
0.110 0.750 0.562 Ag
0.890 0.250 0.438 Ag
0.110 0.250 0.731 Pd
0.117 0.750 0.078 Pd
0.282 0.250 0.520 Pd
0.313 0.750 0.867 Pd
0.489 0.250 0.824 Pd
0.494 0.750 0.671 Pd
0.506 0.250 0.329 Pd
0.511 0.750 0.176 Pd
0.687 0.250 0.133 Pd
0.718 0.750 0.480 Pd
0.883 0.250 0.922 Pd
0.890 0.750 0.269 Pd
```



no.,energy above the lowest structure with this stoichiometry (meV per atom)
1,329.7
2,0.0